1.
VASP calculation (PBE) on a relaxed HgB2OF crystal.

a b c (Å): 4.435 4.147 4.435
angles (deg): 90.00 90.00 90.00
Positions (direct):
1 B 0.000 0.000 0.500
2 B 0.500 0.000 0.000
3 Hg 0.000 0.000 0.000
4 O 0.000 0.500 0.000
5 F 0.500 0.500 0.500

* formation energy (no corrections): 7.41 eV/f.u.
* raw total energy: -13.078 eV for the cell shown
* space-group type: P4/mmm, No. 123

2.
VASP calculation (PBE) on a relaxed HgBOF2 crystal.

a b c (Å): 4.654 4.654 2.669
angles (deg): 90.00 90.00 90.00
Positions (direct):
1 B 0.000 0.000 0.000
2 Hg 0.500 0.500 0.500
3 O 0.000 0.000 0.500
4 F 0.000 0.500 0.000
5 F 0.500 0.000 0.000

* energy above the most stable polymorph in this dataset: 0 meV/atom
* formation energy (no corrections): -6.22 eV/f.u.
* raw total energy: -21.898 eV for the cell shown
* space-group type: P4/mmm, No. 123

3.
VASP calculation (PBE) on a relaxed HgBO2F crystal.

a b c (Å): 4.318 5.012 6.391
angles (deg): 75.14 90.00 90.00
Site moments in Bohr magnetons follow the coordinates.
Positions (direct):
1 Hg 0.750 0.288 0.579  0.00
2 Hg 0.250 0.712 0.421  0.00
3 B 0.250 0.893 0.862  0.00
4 B 0.750 0.107 0.138  0.00
5 O 0.750 0.004 0.957  -0.10
6 O 0.250 0.996 0.043  -0.10
7 O 0.250 0.050 0.649  0.00
8 O 0.750 0.950 0.351  0.00
9 F 0.750 0.386 0.113  0.00
10 F 0.250 0.614 0.887  0.00

* formation energy (no corrections): -6.89 eV/f.u.
* raw total energy: -51.313 eV for the cell shown
* space-group type: P2_1/m, No. 11

4.
VASP calculation (PBE) on a relaxed HgBOF2 crystal.

a b c (Å): 4.500 4.500 4.141
angles (deg): 90.00 90.00 90.00
Site moments in Bohr magnetons follow the coordinates.
Positions (direct):
1 B 0.500 0.500 0.500  0.01
2 Hg 0.000 0.000 0.000  -0.03
3 O 0.000 0.000 0.500  -0.23
4 F 0.000 0.500 0.000  0.00
5 F 0.500 0.000 0.000  0.00

* energy above the most stable polymorph in this dataset: 1620 meV/atom
* formation energy (no corrections): 1.88 eV/f.u.
* raw total energy: -13.799 eV for the cell shown
* space-group type: P4/mmm, No. 123

Number 1: total magnetization 0.0 μB/cell. Number 2: total magnetization 0.0 μB/cell. Number 3: total magnetization 0.2 μB/cell. Number 4: total magnetization 0.3 μB/cell.